[1]
Material: Cu3SnRh4
Method: DFT, GGA-PBE
State: optimized geometry

The structure in extended XYZ format:
```
8
Lattice="4.334 0.000 0.000 0.000 4.334 0.000 0.000 0.000 6.040" Properties=species:S:1:pos:R:3 pbc="T T T"
Cu 0.000 0.000 0.000
Cu 0.000 0.000 3.020
Cu 2.167 2.167 0.000
Sn 2.167 2.167 3.020
Rh 0.000 2.167 1.448
Rh 0.000 2.167 4.592
Rh 2.167 0.000 1.448
Rh 2.167 0.000 4.592
```

---

[2]
Material: CuSn2Rh4
Method: DFT, GGA-PBE
State: optimized geometry

The structure in extended XYZ format:
```
7
Lattice="-3.018 3.018 3.245 3.018 -3.018 3.245 3.018 3.018 -3.245" Properties=species:S:1:pos:R:3 pbc="T T T"
Cu 0.000 0.000 0.000
Sn 3.018 0.000 0.000
Sn 0.000 3.018 0.000
Rh 1.509 1.509 -1.622
Rh 1.509 -1.509 1.622
Rh -1.509 1.509 1.622
Rh 1.509 1.509 1.622
```

---

[3]
4
Lattice="1.624 0.938 9.051 -1.624 0.938 9.051 0.000 -1.876 9.051" Properties=species:S:1:pos:R:3 comment="CuSn2Rh (GGA-PBE, optimized geometry)" polymorph_energy_ev_per_atom=0.075 pbc="T T T"
Cu 0.000 0.000 0.000
Sn 0.000 0.000 2.534
Sn 0.000 0.000 24.619
Rh 0.000 0.000 13.576

---

[4]
10
Lattice="6.752 0.000 0.000 0.000 6.752 0.000 0.000 0.000 3.455" Properties=species:S:1:pos:R:3 comment="Cu2SnRh2 (GGA-PBE, optimized geometry)" polymorph_energy_ev_per_atom=0.000 pbc="T T T"
Cu 1.030 2.346 0.000
Cu 2.346 5.722 0.000
Cu 4.405 1.030 0.000
Cu 5.722 4.405 0.000
Sn 0.000 0.000 1.727
Sn 3.376 3.376 1.727
Rh 0.946 4.322 1.727
Rh 2.429 0.946 1.727
Rh 4.322 5.805 1.727
Rh 5.805 2.429 1.727

---

[5]
10
Lattice="6.460 0.000 0.000 -3.230 5.595 0.000 0.000 0.000 4.543" Properties=species:S:1:pos:R:3 comment="CuSnRh3 (GGA-PBE, optimized geometry)" polymorph_energy_ev_per_atom=0.000 pbc="T T T"
Cu 0.000 0.000 0.000
Cu 0.000 0.000 2.271
Sn 0.000 3.730 1.136
Sn 3.230 1.865 3.407
Rh 0.000 2.183 3.407
Rh -1.340 4.503 3.407
Rh 1.890 1.091 1.136
Rh 1.340 4.503 3.407
Rh 4.570 1.091 1.136
Rh 3.230 3.412 1.136

---

[6]
5
Lattice="-1.866 1.866 5.863 1.866 -1.866 5.863 1.866 1.866 -5.863" Properties=species:S:1:pos:R:3 comment="Cu2SnRh2 (GGA-PBE, optimized geometry)" polymorph_energy_ev_per_atom=0.263 pbc="T T T"
Cu 0.000 0.000 1.182
Cu 0.000 0.000 10.543
Sn 0.000 0.000 5.863
Rh 1.866 0.000 2.931
Rh 0.000 1.866 2.931

---

[7]
4
Lattice="0.000 3.307 3.307 3.307 0.000 3.307 3.307 3.307 0.000" Properties=species:S:1:pos:R:3 comment="CuSn2Rh (GGA-PBE, optimized geometry)" polymorph_energy_ev_per_atom=0.000 pbc="T T T"
Cu 0.000 0.000 0.000
Sn 1.653 1.653 1.653
Sn 4.960 4.960 4.960
Rh 3.307 3.307 3.307

---

[8]
Material: CuSn5Rh
Method: DFT, GGA-PBE
State: optimized geometry

The structure in extended XYZ format:
```
14
Lattice="5.656 -3.665 0.000 5.656 3.665 0.000 -3.936 0.000 8.662" Properties=species:S:1:pos:R:3 pbc="T T T"
Cu 0.000 0.000 0.000
Cu -1.968 0.000 4.331
Sn 2.704 2.816 6.496
Sn 0.330 0.718 5.357
Sn 0.658 1.116 8.415
Sn 2.298 -0.718 1.026
Sn 4.751 1.116 4.578
Sn 2.626 -1.116 4.084
Sn 5.078 0.718 7.636
Sn 6.718 -1.116 0.247
Sn 7.046 -0.718 3.305
Sn 4.672 -2.816 2.165
Rh 2.704 0.132 6.496
Rh 4.672 -0.132 2.165
```

---

[9]
8
Lattice="-2.184 2.184 8.649 2.184 -2.184 8.649 2.184 2.184 -8.649" Properties=species:S:1:pos:R:3 comment="CuSn2Rh (GGA-PBE, optimized geometry)" polymorph_energy_ev_per_atom=0.156 pbc="T T T"
Cu 0.000 0.000 0.000
Cu 0.000 2.184 4.324
Sn 3.276 1.075 -2.162
Sn 1.075 1.092 2.162
Sn -1.092 1.108 6.487
Sn 1.108 1.092 10.811
Rh 2.184 0.000 4.324
Rh 0.000 0.000 8.649

---

[10]
5
Lattice="4.505 0.000 0.000 0.000 4.505 0.000 0.000 0.000 4.505" Properties=species:S:1:pos:R:3 comment="CuSnRh3 (GGA-PBE, optimized geometry)" polymorph_energy_ev_per_atom=0.551 pbc="T T T"
Cu 0.000 0.000 0.000
Sn 2.252 2.252 2.252
Rh 0.000 0.000 2.252
Rh 0.000 2.252 0.000
Rh 2.252 0.000 0.000

---

[11]
10
Lattice="7.580 0.000 0.000 0.000 7.580 0.000 0.000 0.000 3.073" Properties=species:S:1:pos:R:3 comment="CuSn2Rh2 (GGA-PBE, optimized geometry)" polymorph_energy_ev_per_atom=0.072 pbc="T T T"
Cu 0.000 0.000 0.000
Cu 3.790 3.790 0.000
Sn 1.188 2.602 0.000
Sn 2.602 6.392 0.000
Sn 4.978 1.188 0.000
Sn 6.392 4.978 0.000
Rh 1.067 4.857 1.536
Rh 2.723 1.067 1.536
Rh 4.857 6.513 1.536
Rh 6.513 2.723 1.536

---

[12]
10
Lattice="6.873 0.000 0.000 0.000 6.873 0.000 0.000 0.000 3.158" Properties=species:S:1:pos:R:3 comment="Cu2SnRh2 (GGA-PBE, optimized geometry)" polymorph_energy_ev_per_atom=0.024 pbc="T T T"
Cu 0.858 2.579 0.000
Cu 2.579 6.015 0.000
Cu 4.295 0.858 0.000
Cu 6.015 4.295 0.000
Sn 0.000 0.000 0.000
Sn 3.437 3.437 0.000
Rh 1.175 4.612 1.579
Rh 2.261 1.175 1.579
Rh 4.612 5.698 1.579
Rh 5.698 2.261 1.579

---

[13]
10
Lattice="7.201 0.000 0.000 0.000 7.201 0.000 0.000 0.000 3.385" Properties=species:S:1:pos:R:3 comment="CuSn2Rh2 (GGA-PBE, optimized geometry)" polymorph_energy_ev_per_atom=0.000 pbc="T T T"
Cu 0.000 0.000 0.000
Cu 3.601 3.601 0.000
Sn 1.141 2.460 1.693
Sn 2.460 6.061 1.693
Sn 4.742 1.141 1.693
Sn 6.061 4.742 1.693
Rh 1.030 4.631 0.000
Rh 2.570 1.030 0.000
Rh 4.631 6.171 0.000
Rh 6.171 2.570 0.000

---

[14]
Material: Sr2CuSn4Rh3
Method: DFT, GGA-PBE
State: optimized geometry

The structure in extended XYZ format:
```
10
Lattice="4.671 0.000 0.000 0.000 4.671 0.000 0.000 0.000 10.529" Properties=species:S:1:pos:R:3 pbc="T T T"
Sr 0.000 2.335 2.554
Sr 2.335 0.000 7.975
Cu 2.335 2.335 0.000
Sn 0.000 0.000 5.264
Sn 0.000 2.335 9.251
Sn 2.335 0.000 1.278
Sn 2.335 2.335 5.264
Rh 0.000 0.000 0.000
Rh 0.000 2.335 6.603
Rh 2.335 0.000 3.926
```

---

[15]
Material: Sr2Cu3Sn4Rh
Method: DFT, GGA-PBE
State: optimized geometry

The structure in extended XYZ format:
```
10
Lattice="4.610 0.000 0.000 0.000 4.610 0.000 0.000 0.000 10.771" Properties=species:S:1:pos:R:3 pbc="T T T"
Sr 0.000 2.305 2.610
Sr 2.305 0.000 8.161
Cu 0.000 0.000 0.000
Cu 0.000 2.305 6.834
Cu 2.305 0.000 3.937
Sn 0.000 0.000 5.385
Sn 0.000 2.305 9.468
Sn 2.305 0.000 1.303
Sn 2.305 2.305 5.385
Rh 2.305 2.305 0.000
```

---

[16]
Material: TbCuSn2Rh4
Method: DFT, GGA-PBE
State: optimized geometry

The structure in extended XYZ format:
```
8
Lattice="2.263 1.307 7.625 -2.263 1.307 7.625 0.000 -2.613 7.625" Properties=species:S:1:pos:R:3 pbc="T T T"
Tb 0.000 0.000 0.000
Cu 0.000 0.000 11.438
Sn 0.000 0.000 5.592
Sn 0.000 0.000 17.283
Rh 0.000 0.000 2.902
Rh 0.000 0.000 8.814
Rh 0.000 0.000 14.062
Rh 0.000 0.000 19.973
```

---

[17]
Material: Tb2Cu2SnRh5
Method: DFT, GGA-PBE
State: optimized geometry

The structure in extended XYZ format:
```
20
Lattice="9.388 0.000 0.000 0.000 9.388 0.000 0.000 0.000 3.844" Properties=species:S:1:pos:R:3 pbc="T T T"
Tb 1.636 3.058 0.000
Tb 3.058 7.752 0.000
Tb 6.330 1.636 0.000
Tb 7.752 6.330 0.000
Cu 1.144 5.838 0.000
Cu 3.550 1.144 0.000
Cu 5.838 8.244 0.000
Cu 8.244 3.550 0.000
Sn 0.000 0.000 0.000
Sn 4.694 4.694 0.000
Rh 0.000 4.694 1.922
Rh 0.659 7.431 1.922
Rh 1.957 0.659 1.922
Rh 2.737 5.353 1.922
Rh 4.035 2.737 1.922
Rh 4.694 0.000 1.922
Rh 5.353 6.651 1.922
Rh 6.651 4.035 1.922
Rh 7.431 8.729 1.922
Rh 8.729 1.957 1.922
```

---

[18]
Material: ThCuSn2Rh2
Method: DFT, GGA-PBE
State: optimized geometry

The structure in extended XYZ format:
```
6
Lattice="4.776 0.000 0.000 0.000 4.776 0.000 0.000 0.000 5.632" Properties=species:S:1:pos:R:3 pbc="T T T"
Th 0.000 0.000 0.000
Cu 0.000 0.000 2.816
Sn 0.000 2.388 2.816
Sn 2.388 0.000 2.816
Rh 2.388 2.388 1.327
Rh 2.388 2.388 4.305
```

---

[19]
Material: Th2Cu2SnRh5
Method: DFT, GGA-PBE
State: optimized geometry

The structure in extended XYZ format:
```
20
Lattice="9.552 0.000 0.000 0.000 9.552 0.000 0.000 0.000 3.848" Properties=species:S:1:pos:R:3 pbc="T T T"
Th 1.660 3.117 0.000
Th 3.117 7.893 0.000
Th 6.436 1.660 0.000
Th 7.893 6.436 0.000
Cu 1.173 5.949 0.000
Cu 3.603 1.173 0.000
Cu 5.949 8.380 0.000
Cu 8.380 3.603 0.000
Sn 0.000 0.000 0.000
Sn 4.776 4.776 0.000
Rh 0.000 4.776 1.924
Rh 0.706 7.571 1.924
Rh 1.981 0.706 1.924
Rh 2.795 5.482 1.924
Rh 4.071 2.795 1.924
Rh 4.776 0.000 1.924
Rh 5.482 6.757 1.924
Rh 6.757 4.071 1.924
Rh 7.571 8.847 1.924
Rh 8.847 1.981 1.924
```

---

[20]
5
Lattice="4.784 0.000 0.000 0.000 4.784 0.000 0.000 0.000 4.623" Properties=species:S:1:pos:R:3 comment="TiCuSn2Rh (GGA-PBE, optimized geometry)" polymorph_energy_ev_per_atom=0.000 pbc="T T T"
Ti 0.000 0.000 0.000
Cu 0.000 0.000 2.312
Sn 0.000 2.392 2.312
Sn 2.392 0.000 2.312
Rh 2.392 2.392 0.000

---

[21]
Material: TiCu2SnRh
Method: DFT, GGA-PBE
State: optimized geometry

The structure in extended XYZ format:
```
5
Lattice="4.748 0.000 0.000 0.000 4.748 0.000 0.000 0.000 4.460" Properties=species:S:1:pos:R:3 pbc="T T T"
Ti 0.000 0.000 0.000
Cu 0.000 2.374 0.000
Cu 2.374 0.000 0.000
Sn 2.374 2.374 2.230
Rh 0.000 0.000 2.230
```

---

[22]
5
Lattice="5.161 0.000 0.000 0.000 5.161 0.000 0.000 0.000 4.521" Properties=species:S:1:pos:R:3 comment="TiCuSn2Rh (GGA-PBE, optimized geometry)" polymorph_energy_ev_per_atom=0.367 pbc="T T T"
Ti 0.000 0.000 0.000
Cu 0.000 0.000 2.260
Sn 0.000 2.580 0.000
Sn 2.580 0.000 0.000
Rh 2.580 2.580 2.260

---

[23]
Material: TmCuSnRh
Method: DFT, GGA-PBE
State: optimized geometry

The structure in extended XYZ format:
```
4
Lattice="0.000 3.309 3.309 3.309 0.000 3.309 3.309 3.309 0.000" Properties=species:S:1:pos:R:3 pbc="T T T"
Tm 0.000 0.000 0.000
Cu 1.654 1.654 1.654
Sn 3.309 3.309 3.309
Rh 4.963 4.963 4.963
```

---

Calculated values (μB per cell) of total moment for the records, taken in order: 0.01, 0.00, 0.00, 0.00, 0.00, 0.78, 0.00, 0.00, 0.00, 0.00, 0.00, 0.00, 0.00, 0.00, 0.00, 0.00, 0.00, 0.00, 0.00, 0.00, 0.00, 0.89, 0.00.
Calculated values (states/eV/cell) of DOS at the Fermi energy for the records, taken in order: 13.9, 7.8, 2.7, 2.8, 16.3, 6.2, 2.3, 6.2, 5.2, 7.5, 3.7, 3.1, 4.6, 6.7, 4.7, 3.7, 20.3, 3.5, 12.6, 5.5, 4.2, 5.4, 2.8.
Calculated values (eV/atom) of formation enthalpy at 0 K for the records, taken in order: -0.084, -0.120, 0.026, 0.008, 0.210, 0.272, -0.049, 0.031, 0.107, 0.761, -0.185, 0.032, -0.258, -0.542, -0.394, -0.553, -0.541, -0.025, -0.658, 0.621, 0.718, 0.989, -0.569.